[1]
The following is a meta-GGA SCAN calculation of a crystal of CoHgAs2 relaxed with PBEsol, from the Alexandria database. Values from VASP.

Quantum ESPRESSO input file:
```
&SYSTEM
  ibrav = 0, nat = 4, ntyp = 3
/
ATOMIC_SPECIES
Hg 200.59 Hg.upf
Co 58.93 Co.upf
As 74.92 As.upf
ATOMIC_POSITIONS crystal
Hg 0.5000 0.5000 0.7108
Co 0.0000 0.0000 0.4690
As 0.0000 0.0000 0.0072
As 0.5000 0.5000 0.3130
CELL_PARAMETERS angstrom
2.8876 0.0000 0.0000
0.0000 2.8876 0.0000
0.0000 0.0000 8.0203
```

Values from the calculation:
calculated formation energy	1.19	eV/f.u.
space group	P4mm (99)

---

[2]
The following is a meta-GGA SCAN calculation of a crystal of TaHg2Pb relaxed with PBEsol, from the Alexandria database. Values from VASP.

Quantum ESPRESSO input file:
```
&SYSTEM
  ibrav = 0, nat = 4, ntyp = 3
/
ATOMIC_SPECIES
Hg 200.59 Hg.upf
Ta 180.95 Ta.upf
Pb 207.20 Pb.upf
ATOMIC_POSITIONS crystal
Hg 0.7426 0.7426 0.7723
Ta 0.0000 0.0000 0.0000
Hg 0.2574 0.2574 0.2277
Pb 0.5000 0.5000 0.5000
CELL_PARAMETERS angstrom
-1.9905 1.8046 1.7082
-2.8754 -1.1136 0.7929
2.1569 -3.5491 9.2299
```

Values from the calculation:
calculated formation energy	1.43	eV/f.u.
space group	R-3m (166)

---

[3]
The following is a meta-GGA SCAN calculation of a crystal of Sr2TlRh relaxed with PBEsol, from the Alexandria database. Values from VASP.

Quantum ESPRESSO input file:
```
&SYSTEM
  ibrav = 0, nat = 4, ntyp = 3
/
ATOMIC_SPECIES
Sr 87.62 Sr.upf
Rh 102.91 Rh.upf
Tl 204.38 Tl.upf
ATOMIC_POSITIONS crystal
Sr 0.3948 0.5000 0.7897
Rh 0.6833 0.5000 0.3667
Tl 0.8132 0.0000 0.6265
Sr 0.1091 0.0000 0.2182
CELL_PARAMETERS angstrom
-2.7741 2.0621 2.9780
2.4374 -1.6407 3.4066
4.7251 3.6517 -1.6220
```

Values from the calculation:
calculated formation energy	-1.54	eV/f.u.
space group	Amm2 (38)

---

[4]
The following is a meta-GGA SCAN calculation of a crystal of MoIrRh2 relaxed with PBEsol, from the Alexandria database. Values from VASP.

Quantum ESPRESSO input file:
```
&SYSTEM
  ibrav = 0, nat = 4, ntyp = 3
/
ATOMIC_SPECIES
Ir 192.22 Ir.upf
Rh 102.91 Rh.upf
Mo 95.94 Mo.upf
ATOMIC_POSITIONS crystal
Ir 0.5000 0.5000 0.0000
Rh 0.7500 0.2500 0.5000
Mo 0.0000 0.0000 0.0000
Rh 0.2500 0.7500 0.5000
CELL_PARAMETERS angstrom
3.8128 0.0000 0.0000
0.0000 3.8128 0.0000
-1.9064 -1.9064 3.8418
```

Values from the calculation:
calculated formation energy	-0.81	eV/f.u.
ΔE to the lowest computed polymorph	0.23	eV per formula unit
space group	I4/mmm (139)

---

[5]
The following is a meta-GGA SCAN calculation of a crystal of Li2CrTc relaxed with PBEsol, from the Alexandria database. Values from VASP.

Quantum ESPRESSO input file:
```
&SYSTEM
  ibrav = 0, nat = 4, ntyp = 3
/
ATOMIC_SPECIES
Tc 98.00 Tc.upf
Cr 52.00 Cr.upf
Li 6.94 Li.upf
ATOMIC_POSITIONS crystal
Tc 0.4806 0.0000 0.5328
Cr 0.2598 0.5000 0.7165
Li 0.7770 0.5000 0.2426
Li 0.9826 0.0000 0.0081
CELL_PARAMETERS angstrom
2.4296 0.0000 0.0022
0.0000 4.0616 0.0000
-0.7122 0.0000 5.4063
```

Values from the calculation:
calculated formation energy	1.15	eV/f.u.
ΔE to the lowest computed polymorph	0.00	eV per formula unit
space group	Pm (6)

---

[6]
The following is a meta-GGA SCAN calculation of a crystal of TlAg2Pb relaxed with PBEsol, from the Alexandria database. Values from VASP.

Quantum ESPRESSO input file:
```
&SYSTEM
  ibrav = 0, nat = 4, ntyp = 3
/
ATOMIC_SPECIES
Pb 207.20 Pb.upf
Ag 107.87 Ag.upf
Tl 204.38 Tl.upf
ATOMIC_POSITIONS crystal
Pb 0.9053 0.0000 0.4267
Ag 0.3277 0.5000 0.2772
Ag 0.1715 0.0000 0.9718
Tl 0.5956 0.5000 0.8243
CELL_PARAMETERS angstrom
3.5041 0.0000 -0.0426
0.0000 4.6640 0.0000
-1.7340 0.0000 5.4702
```

Values from the calculation:
calculated formation energy	0.41	eV/f.u.
ΔE to the lowest computed polymorph	0.00	eV per formula unit
space group	Pm (6)

---

- Among the records above, which one has the lowest calculated formation energy?
  Sr2TlRh

---

- Which of these has the highest calculated formation energy?
  TaHg2Pb

---

- Among the records above, which one has the highest calculated formation energy?
  TaHg2Pb